This record from Alexandria via LeMat-Bulk describes crystalline Tb6ErTh4 at its relaxed geometry. The functional is GGA-PBE.

The space group is Immm (No. 71) and the conventional cell measures 3.4324, 5.8504 and 35.7576 Å, with angles of 90.00, 90.00 and 90.00 degrees. Symmetry generates all atoms from Tb at (0.0000, 0.0000, 0.0952), Tb at (0.0000, 0.0000, 0.2674), Tb at (0.0000, 0.0000, 0.3688), Er at (0.0000, 0.5000, 0.5000), Th at (0.0000, 0.5000, 0.0436) and Th at (0.0000, 0.5000, 0.3180).

The total energy comes out at -120.451 eV/cell. Its formation energy is 0.1635 eV per atom. The calculation puts the density of states at the Fermi level at 15.2 states/eV/f.u.